(1)
A relaxed structure of Ag2SbTe. Source: Alexandria via LeMat-Bulk, functional PBE.

Lattice parameters (Å, degrees): 3.1559 3.1559 9.6700 90.00 90.00 90.40
Last column: nearest neighbours and their distance in Å.
Atoms (fractional coordinates):
Sb: 0.0000 0.0000 0.4465  4 Ag 3.06-3.07, 4 Sb 3.16
Ag: 0.0000 0.0000 0.0305  8 Ag 2.94-3.16, 4 Te 3.20-3.21
Ag: 0.5000 0.5000 0.2297  8 Ag 2.94-3.16, 4 Sb 3.06-3.07
Te: 0.5000 0.5000 0.7932  4 Te 3.16, 4 Ag 3.20-3.21

Values from the calculation:
excess energy over the best structure of this formula in the dataset = 92 meV/atom
formation energy without anion corrections = 47 kJ/mol of formula units
SG = No. 35
ρ = 8.02 Mg/m³

***

(2)
A relaxed structure of Ag3SbTe3. Source: Alexandria via LeMat-Bulk, functional PBE.

Lattice parameters (Å, degrees): 7.8196 7.8196 8.7712 63.53 63.53 60.00
Last column: nearest neighbours and their distance in Å.
Atoms (fractional coordinates):
Sb: 0.3312 0.3312 0.0063  6 Te 3.07-3.14
Sb: 0.6688 0.6688 0.9937  6 Te 3.07-3.14
Te: 0.9289 0.2530 0.2189  4 Ag 2.83-3.04, 2 Sb 3.07-3.14
Te: 0.7470 0.4009 0.7811  4 Ag 2.83-3.04, 2 Sb 3.07-3.14
Te: 0.0711 0.7470 0.7811  4 Ag 2.83-3.04, 2 Sb 3.07-3.14
Te: 0.2530 0.5991 0.2189  4 Ag 2.83-3.04, 2 Sb 3.07-3.14
Te: 0.5991 0.9289 0.2189  4 Ag 2.83-3.04, 2 Sb 3.07-3.14
Te: 0.4009 0.0711 0.7811  4 Ag 2.83-3.04, 2 Sb 3.07-3.14
Ag: 0.8732 0.5084 0.3999  4 Te 2.83-3.04, 3 Ag 2.97-3.11
Ag: 0.4916 0.7815 0.6001  4 Te 2.83-3.04, 3 Ag 2.97-3.11
Ag: 0.5084 0.2185 0.3999  4 Te 2.83-3.04, 3 Ag 2.97-3.11
Ag: 0.7815 0.1268 0.6001  4 Te 2.83-3.04, 3 Ag 2.97-3.11
Ag: 0.2185 0.8732 0.3999  4 Te 2.83-3.04, 3 Ag 2.97-3.11
Ag: 0.1268 0.4916 0.6001  4 Te 2.83-3.04, 3 Ag 2.97-3.11

Values from the calculation:
formation energy without anion corrections = -42 kJ/mol of formula units
SG = No. 148
ρ = 6.91 Mg/m³

***

(3)
A relaxed structure of AgSb3Te4. Source: Alexandria via LeMat-Bulk, functional PBE.

Lattice parameters (Å, degrees): 6.2577 6.2571 12.3279 90.00 90.00 90.00
Last column: nearest neighbours and their distance in Å.
Atoms (fractional coordinates):
Te: 0.5646 0.7504 0.7472  1 Ag 3.05, 5 Sb 3.12-3.13
Te: 0.5643 0.2500 0.0000  4 Sb 3.08-3.13, 2 Ag 3.13
Te: 0.5646 0.7504 0.2528  1 Ag 3.05, 5 Sb 3.12-3.13
Te: 0.0646 0.2496 0.2472  1 Ag 3.05, 5 Sb 3.12-3.13
Te: 0.5645 0.2497 0.5000  4 Sb 3.08-3.13, 2 Ag 3.12-3.14
Te: 0.0646 0.2496 0.7528  1 Ag 3.05, 5 Sb 3.12-3.13
Te: 0.0643 0.7500 0.5000  4 Sb 3.08-3.13, 2 Ag 3.13
Te: 0.0645 0.7503 0.0000  4 Sb 3.08-3.13, 2 Ag 3.12-3.14
Ag: 0.0638 0.2519 0.0000  6 Te 3.05-3.14
Ag: 0.5638 0.7481 0.5000  6 Te 3.05-3.14
Sb: 0.0646 0.7500 0.2500  6 Te 3.08-3.13
Sb: 0.5644 0.7505 0.0000  6 Te 3.12-3.13
Sb: 0.0646 0.7500 0.7500  6 Te 3.08-3.13
Sb: 0.5646 0.2500 0.2500  6 Te 3.08-3.13
Sb: 0.5646 0.2500 0.7500  6 Te 3.08-3.13
Sb: 0.0644 0.2495 0.5000  6 Te 3.12-3.13

Values from the calculation:
excess energy over the best structure of this formula in the dataset = 0 meV/atom
formation energy without anion corrections = -32 kJ/mol of formula units
SG = No. 31
ρ = 6.77 Mg/m³

***

(4)
A relaxed structure of Ag5Sb2Te2. Source: Alexandria via LeMat-Bulk, functional PBE.

Lattice parameters (Å, degrees): 7.6070 5.5782 11.8294 103.64 108.76 90.00
Last column: nearest neighbours and their distance in Å.
Atoms (fractional coordinates):
Ag: 0.3904 0.4647 0.1653  2 Sb 2.84-2.87, 2 Te 2.89-3.13, 3 Ag 2.92-2.93
Ag: 0.8875 0.9415 0.1598  2 Sb 2.83-2.92, 3 Ag 2.92-2.93, 2 Te 2.93-3.06
Ag: 0.7251 0.7994 0.8347  2 Sb 2.84-2.87, 2 Te 2.89-3.13, 3 Ag 2.92-2.93
Ag: 0.2749 0.9647 0.1653  2 Sb 2.84-2.87, 2 Te 2.89-3.13, 3 Ag 2.92-2.93
Ag: 0.0693 0.5057 0.5000  2 Te 2.83-2.89, 2 Ag 2.98, 2 Sb 2.98
Ag: 0.7723 0.4415 0.1598  2 Sb 2.83-2.92, 3 Ag 2.92-2.93, 2 Te 2.93-3.06
Ag: 0.2277 0.2817 0.8402  2 Sb 2.83-2.92, 3 Ag 2.92-2.93, 2 Te 2.93-3.06
Ag: 0.1125 0.7817 0.8402  2 Sb 2.83-2.92, 3 Ag 2.92-2.93, 2 Te 2.93-3.06
Ag: 0.9307 0.0057 0.5000  2 Te 2.83-2.89, 2 Ag 2.98, 2 Sb 2.98
Ag: 0.6096 0.2994 0.8347  2 Sb 2.84-2.87, 2 Te 2.89-3.13, 3 Ag 2.92-2.93
Te: 0.3025 0.1114 0.5000  2 Ag 2.83-2.89, 2 Sb 2.94
Te: 0.5000 0.6927 0.0000  8 Ag 2.89-3.13
Te: 0.6975 0.6114 0.5000  2 Ag 2.83-2.89, 2 Sb 2.94
Te: 0.0000 0.1927 0.0000  8 Ag 2.89-3.13
Sb: 0.3522 0.8708 0.7028  5 Ag 2.83-2.98, 1 Te 2.94
Sb: 0.6478 0.1681 0.2972  5 Ag 2.83-2.98, 1 Te 2.94
Sb: 0.1494 0.6681 0.2972  5 Ag 2.83-2.98, 1 Te 2.94
Sb: 0.8506 0.3708 0.7028  5 Ag 2.83-2.98, 1 Te 2.94

Values from the calculation:
formation energy without anion corrections = 47 kJ/mol of formula units
SG = No. 46
ρ = 7.49 Mg/m³

***

(5)
A relaxed structure of AgSbTe. Source: Alexandria via LeMat-Bulk, functional PBE.

Lattice parameters (Å, degrees): 3.3070 3.3070 8.5522 90.00 90.00 120.00
Last column: nearest neighbours and their distance in Å.
Atoms (fractional coordinates):
Te: 0.3333 0.6667 0.7227  3 Ag 3.07, 6 Te 3.31
Ag: 0.0000 0.0000 0.0035  3 Sb 3.00, 3 Te 3.07, 6 Ag 3.31
Sb: 0.6667 0.3333 0.2738  3 Ag 3.00, 6 Sb 3.31

Values from the calculation:
excess energy over the best structure of this formula in the dataset = 243 meV/atom
formation energy without anion corrections = 66 kJ/mol of formula units
SG = No. 156
ρ = 7.32 Mg/m³

***

(6)
A relaxed structure of Ag6SbTe8. Source: Alexandria via LeMat-Bulk, functional PBE.

Lattice parameters (Å, degrees): 7.4484 7.4484 7.4484 80.80 80.80 80.80
Last column: nearest neighbours and their distance in Å.
Atoms (fractional coordinates):
Ag: 0.1870 0.4123 0.5688  5 Te 2.85-3.07, 1 Ag 3.14
Ag: 0.4312 0.8130 0.5877  5 Te 2.85-3.07, 1 Ag 3.14
Ag: 0.5688 0.1870 0.4123  5 Te 2.85-3.07, 1 Ag 3.14
Ag: 0.5877 0.4312 0.8130  5 Te 2.85-3.07, 1 Ag 3.14
Ag: 0.8130 0.5877 0.4312  5 Te 2.85-3.07, 1 Ag 3.14
Ag: 0.4123 0.5688 0.1870  5 Te 2.85-3.07, 1 Ag 3.14
Te: 0.1318 0.8111 0.3800  4 Ag 2.89-3.07, 1 Sb 3.18
Te: 0.8682 0.1889 0.6200  4 Ag 2.89-3.07, 1 Sb 3.18
Te: 0.3800 0.1318 0.8111  4 Ag 2.89-3.07, 1 Sb 3.18
Te: 0.2434 0.2434 0.2434  3 Ag 2.85
Te: 0.6200 0.8682 0.1889  4 Ag 2.89-3.07, 1 Sb 3.18
Te: 0.1889 0.6200 0.8682  4 Ag 2.89-3.07, 1 Sb 3.18
Te: 0.8111 0.3800 0.1318  4 Ag 2.89-3.07, 1 Sb 3.18
Te: 0.7566 0.7566 0.7566  3 Ag 2.85
Sb: 0.0000 0.0000 0.0000  6 Te 3.18

Values from the calculation:
formation energy without anion corrections = 151 kJ/mol of formula units
SG = No. 148
ρ = 7.45 Mg/m³

***

(7)
A relaxed structure of Ag2SbTe2. Source: Alexandria via LeMat-Bulk, functional PBE.

Lattice parameters (Å, degrees): 4.0553 4.0553 8.3877 76.01 76.01 90.00
Last column: nearest neighbours and their distance in Å.
Atoms (fractional coordinates):
Te: 0.3870 0.3870 0.2261  4 Ag 2.96
Te: 0.6130 0.6130 0.7739  4 Ag 2.96
Ag: 0.2500 0.7500 0.5000  4 Ag 2.87, 4 Te 2.96
Ag: 0.7500 0.2500 0.5000  4 Ag 2.87, 4 Te 2.96
Sb: 0.0000 0.0000 0.0000  8 Te 3.38

Values from the calculation:
excess energy over the best structure of this formula in the dataset = 137 meV/atom
formation energy without anion corrections = 66 kJ/mol of formula units
SG = No. 139
ρ = 7.59 Mg/m³

***

(8)
A relaxed structure of Ag2SbTe. Source: Alexandria via LeMat-Bulk, functional PBE.

Lattice parameters (Å, degrees): 3.1036 4.2154 7.4922 90.00 90.00 90.00
Last column: nearest neighbours and their distance in Å.
Atoms (fractional coordinates):
Ag: 0.5000 0.5000 0.2293  4 Sb 3.00, 6 Ag 3.02-3.10, 1 Te 3.09
Ag: 0.0000 0.0000 0.0287  1 Sb 2.97, 6 Ag 3.02-3.10, 4 Te 3.06
Te: 0.5000 0.5000 0.8167  5 Ag 3.06-3.09, 2 Te 3.10
Sb: 0.0000 0.0000 0.4253  5 Ag 2.97-3.00, 2 Sb 3.10

Values from the calculation:
excess energy over the best structure of this formula in the dataset = 37 meV/atom
formation energy without anion corrections = 26 kJ/mol of formula units
SG = No. 25
ρ = 7.88 Mg/m³

***

(9)
A relaxed structure of AgSbTe4. Source: Alexandria via LeMat-Bulk, functional PBE.

Lattice parameters (Å, degrees): 5.6754 7.8465 8.5305 90.00 90.00 88.21
Last column: nearest neighbours and their distance in Å.
Atoms (fractional coordinates):
Te: 0.3166 0.5043 0.1217  2 Ag 2.80-2.98, 1 Te 2.94, 1 Sb 3.13
Te: 0.6834 0.4957 0.8783  2 Ag 2.80-2.98, 1 Te 2.94, 1 Sb 3.13
Te: 0.8397 0.5501 0.3813  1 Te 2.82, 1 Sb 3.09
Te: 0.3166 0.0043 0.8783  2 Ag 2.80-2.98, 1 Te 2.94, 1 Sb 3.13
Te: 0.8397 0.0501 0.6187  1 Te 2.82, 1 Sb 3.09
Te: 0.1603 0.9499 0.3813  1 Te 2.82, 1 Sb 3.09
Te: 0.1603 0.4499 0.6187  1 Te 2.82, 1 Sb 3.09
Te: 0.6834 0.9957 0.1217  2 Ag 2.80-2.98, 1 Te 2.94, 1 Sb 3.13
Ag: 0.0000 0.7500 0.9507  4 Te 2.80-2.98
Ag: 0.0000 0.2500 0.0493  4 Te 2.80-2.98
Sb: 0.5000 0.2500 0.3800  6 Te 3.09-3.18
Sb: 0.5000 0.7500 0.6200  6 Te 3.09-3.18

Values from the calculation:
excess energy over the best structure of this formula in the dataset = 0 meV/atom
formation energy without anion corrections = 1 kJ/mol of formula units
SG = No. 13
ρ = 6.47 Mg/m³

***

(10)
A relaxed structure of Ag2SbTe. Source: Alexandria via LeMat-Bulk, functional PBE.

Lattice parameters (Å, degrees): 4.1062 4.1062 7.0853 71.61 71.61 62.57
Last column: nearest neighbours and their distance in Å.
Atoms (fractional coordinates):
Sb: 0.2500 0.2500 0.2500  6 Ag 2.90-2.91
Ag: 0.5002 0.5002 0.4977  3 Sb 2.90-2.91, 3 Te 2.92-2.93
Ag: 0.9998 0.9998 0.0023  3 Sb 2.90-2.91, 3 Te 2.92-2.93
Te: 0.7500 0.7500 0.7500  6 Ag 2.92-2.93

Values from the calculation:
excess energy over the best structure of this formula in the dataset = 60 meV/atom
formation energy without anion corrections = 35 kJ/mol of formula units
SG = No. 12
ρ = 7.84 Mg/m³

***

> Which formula does entry 10 have?

Ag2SbTe

***

> Among the records above, which one has the lowest ρ?

AgSbTe4

***

> What is the formula in the second record?

Ag3SbTe3